A plane-wave DFT calculation with PBE was carried out for a relaxed Ge6Ir3Os crystal.

Calculated values
**Symmetry**: P2_1/c, No. 14
**Mass density**: 11615 kg/m3
**VASP energy**: -133.19 eV for the cell shown
**D(E_F)**: 0.268 states/eV/atom

a b c (Å): 6.6650 6.2123 8.3070
angles (deg): 90.00 91.17 90.00
Element x y z (fractional)
Ge: 0.6837 0.5162 0.2534
Os: 0.5000 0.5000 0.5000
Ir: 0.5210 0.8469 0.7498
Ir: 0.9790 0.3469 0.7502
Ge: 0.6521 0.1432 0.9353
Ir: 0.0210 0.6531 0.2498
Ge: 0.6509 0.1426 0.5673
Ge: 0.3479 0.8568 0.0647
Ir: 0.0000 0.0000 0.5000
Ge: 0.8479 0.6432 0.5647
Ge: 0.8491 0.6426 0.9327
Ir: 0.5000 0.5000 0.0000
Ge: 0.3491 0.8574 0.4327
Ge: 0.1837 0.9838 0.7534
Ir: 0.4790 0.1531 0.2502
Ge: 0.1509 0.3574 0.0673
Ge: 0.3163 0.4838 0.7466
Os: 0.0000 0.0000 0.0000
Ge: 0.1521 0.3568 0.4353
Ge: 0.8163 0.0162 0.2466